First-principles (PBE) data for a relaxed Sn2MoPd2 crystal, as listed in Alexandria.

Cell lengths 3.8001, 3.8001, 13.2455 Å; angles 90.00, 90.00, 90.00 degrees
Fractional positions:
Sn 0.0000 0.0000 0.1058
Sn 0.0000 0.0000 0.8942
Sn 0.5000 0.5000 0.3942
Sn 0.5000 0.5000 0.6058
Mo 0.0000 0.0000 0.5000
Mo 0.5000 0.5000 0.0000
Pd 0.0000 0.5000 0.2500
Pd 0.0000 0.5000 0.7500
Pd 0.5000 0.0000 0.2500
Pd 0.5000 0.0000 0.7500

Values from the calculation:
D(E_F) ... 1.73 states/eV per cell
Energy of formation ... 160 meV/atom
Raw total energy ... -56.8 eV/cell
Space group ... I4/mmm, No. 139



First-principles (PBE) data for a relaxed TiSnMoPd crystal, as listed in Alexandria.

Cell lengths 6.4556, 6.4556, 6.4556 Å; angles 90.00, 90.00, 90.00 degrees
Fractional positions:
Ti 0.0000 0.0000 0.0000
Ti 0.0000 0.5000 0.5000
Ti 0.5000 0.0000 0.5000
Ti 0.5000 0.5000 0.0000
Sn 0.0000 0.0000 0.5000
Sn 0.0000 0.5000 0.0000
Sn 0.5000 0.0000 0.0000
Sn 0.5000 0.5000 0.5000
Mo 0.2500 0.2500 0.7500
Mo 0.2500 0.7500 0.2500
Mo 0.7500 0.2500 0.2500
Mo 0.7500 0.7500 0.7500
Pd 0.2500 0.2500 0.2500
Pd 0.2500 0.7500 0.7500
Pd 0.7500 0.2500 0.7500
Pd 0.7500 0.7500 0.2500

Values from the calculation:
D(E_F) ... 3.82 states/eV per cell
Energy of formation ... -231 meV/atom
Raw total energy ... -115.4 eV/cell
Space group ... F-43m, No. 216



First-principles (PBE) data for a relaxed Ti2SnMoPd crystal, as listed in Alexandria.

Cell lengths 4.9371, 4.9371, 4.9394 Å; angles 90.00, 90.00, 90.00 degrees
Fractional positions:
Ti 0.0000 0.5000 0.0000
Ti 0.5000 0.0000 0.0000
Sn 0.0000 0.0000 0.0000
Mo 0.0000 0.0000 0.5000
Pd 0.5000 0.5000 0.5000

Values from the calculation:
D(E_F) ... 7.61 states/eV per cell
Energy of formation ... 1467 meV/atom
Raw total energy ... -28.5 eV/cell
Space group ... P4/mmm, No. 123